1.
KTb2ReO8 | PBE-GGA | relaxed

Summary:
ΔE_f (raw) ... -2277 meV per atom
ρ ... 5.9 Mg/m³
Total magnetization ... 0.04 μB/f.u.
Space group ... P-1, No. 2

Cell: 5.4094 5.2860 7.1011 Å, 73.38 96.25 104.72°
Fractional coordinates of all 12 atoms:
K: 0.0000 0.0000 0.5000
Tb: 0.5590 0.3441 0.8146
Tb: 0.4410 0.6559 0.1854
Re: 0.0000 0.0000 0.0000
O: 0.0853 0.7654 0.2375
O: 0.7450 0.6990 0.9454
O: 0.7367 0.0743 0.1189
O: 0.9147 0.2346 0.7625
O: 0.2550 0.3010 0.0546
O: 0.2633 0.9257 0.8811
O: 0.5489 0.6421 0.5116
O: 0.4511 0.3579 0.4884


2.
LiSi2Ru | PBE-GGA | relaxed

Summary:
ΔE_f (raw) ... -276 meV per atom
ρ ... 4.8 Mg/m³
DOS(E_F) ... 2.02 states/eV per cell
Total magnetization ... 0.00 μB/f.u.
Relative energy among the computed polymorphs ... 0.29 eV per formula unit
Space group ... C2/m, No. 12

Cell: 4.2514 4.2514 4.8904 Å, 80.86 80.86 40.53°
Fractional coordinates of all 4 atoms:
Li: 0.7500 0.7500 0.7500
Ru: 0.2500 0.2500 0.2500
Si: 0.9860 0.9860 0.0422
Si: 0.5140 0.5140 0.4578